Material: Y3Zn2Ge3
Method: DFT, PBE
State: relaxed

Summary:
Crystal system: orthorhombic
Formation energy from the elements in meV/atom: -668.2
Final energy in hartree per atom: -0.1890
ρ in g cm⁻³: 6.12

Cell: 4.2217 5.9011 14.3484 Å, 90.00 90.00 110.96°
Atoms (fractional coordinates):
Ge 0.6168 0.2336 0.4568
Ge 0.3832 0.7664 0.9568
Ge 0.3832 0.7664 0.5432
Y 0.0692 0.1385 0.8858
Y 0.3545 0.7089 0.7500
Ge 0.3602 0.7205 0.2500
Zn 0.7739 0.5478 0.5982
Y 0.9308 0.8615 0.1142
Ge 0.6168 0.2336 0.0432
Ge 0.6398 0.2795 0.7500
Zn 0.7739 0.5478 0.9018
Zn 0.2261 0.4522 0.0982
Y 0.9308 0.8615 0.3858
Zn 0.2261 0.4522 0.4018
Y 0.6455 0.2911 0.2500
Y 0.0692 0.1385 0.6142

---

Material: AcErAl2
Method: DFT, PBE
State: relaxed

Summary:
Crystal system: tetragonal
Formation energy from the elements in meV/atom: -302.5
Final energy in hartree per atom: -0.1595
ρ in g cm⁻³: 6.97

Cell: 3.7791 3.7791 7.4795 Å, 90.00 90.00 90.00°
Atoms (fractional coordinates):
Al 0.0000 0.0000 0.7905
Al 0.0000 0.0000 0.2095
Ac 0.5000 0.5000 0.5000
Er 0.5000 0.5000 0.0000

---

Material: Ta2AsRu
Method: DFT, PBE
State: relaxed

Summary:
Crystal system: tetragonal
Formation energy from the elements in meV/atom: 360.2
Final energy in hartree per atom: -0.3325
ρ in g cm⁻³: 12.54

Cell: 3.9184 3.9184 9.6820 Å, 78.33 78.33 90.00°
Atoms (fractional coordinates):
As 0.5000 0.5000 0.0000
Ta 0.6163 0.1250 0.2500
Ru 0.7500 0.2500 0.5000
As 0.2500 0.7500 0.5000
Ta 0.3750 0.3837 0.7500
Ta 0.1337 0.6250 0.2500
Ta 0.8750 0.8663 0.7500
Ru 0.0000 0.0000 0.0000

---

Material: SmSn3Au3
Method: DFT, PBE
State: relaxed

Summary:
Crystal system: cubic
Formation energy from the elements in meV/atom: 40.4
Final energy in hartree per atom: -0.1380
ρ in g cm⁻³: 8.61

Cell: 7.5074 7.5074 7.5074 Å, 90.00 90.00 90.00°
Atoms (fractional coordinates):
Sn 0.2500 0.0000 0.5000
Sn 0.5000 0.2500 0.0000
Sn 0.0000 0.5000 0.2500
Sm 0.5000 0.5000 0.5000
Au 0.7500 0.5000 0.0000
Sn 0.5000 0.7500 0.0000
Sn 0.7500 0.0000 0.5000
Au 0.5000 0.0000 0.2500
Sm 0.0000 0.0000 0.0000
Sn 0.0000 0.5000 0.7500
Au 0.5000 0.0000 0.7500
Au 0.2500 0.5000 0.0000
Au 0.0000 0.2500 0.5000
Au 0.0000 0.7500 0.5000